# 1
This record from Alexandria describes crystalline Er2InCo at its relaxed geometry. The functional is PBE.

a = 3.6910 Å, b = 3.6910 Å, c = 28.5388 Å
α = 90.00°, β = 90.00°, γ = 120.00°
Space group R-3m (No. 166, hexagonal axes)
Inequivalent atoms, fractional coordinates:
Er (0.0000, 0.0000, 0.1144) x6
In (0.0000, 0.0000, 0.0000) x3
Co (0.0000, 0.0000, 0.5000) x3

Properties
Energy of formation from the pure elements, eV/atom: -0.0147



# 2
This record from Alexandria describes crystalline Er8In2Co at its relaxed geometry. The functional is PBE.

a = 17.0691 Å, b = 5.4402 Å, c = 6.8512 Å
α = 90.00°, β = 113.16°, γ = 90.00°
Space group C2/m (No. 12)
Inequivalent atoms, fractional coordinates:
Er (0.0059, 0.0000, 0.2649) x4
Er (0.1095, 0.5000, 0.8925) x4
Er (0.1321, 0.5000, 0.3949) x4
Er (0.1950, 0.0000, 0.7269) x4
In (0.1836, 0.0000, 0.1893) x4
Co (0.0000, 0.5000, 0.5000) x2

Properties
Energy of formation from the pure elements, eV/atom: -0.2064



# 3
This record from Alexandria describes crystalline ErInCoIr at its relaxed geometry. The functional is PBE.

a = 6.5381 Å, b = 6.5381 Å, c = 6.5381 Å
α = 90.00°, β = 90.00°, γ = 90.00°
Space group F-43m (No. 216)
Inequivalent atoms, fractional coordinates:
Er (0.0000, 0.0000, 0.0000) x4
In (0.0000, 0.0000, 0.5000) x4
Co (0.2500, 0.2500, 0.2500) x4
Ir (0.2500, 0.2500, 0.7500) x4

Properties
Energy of formation from the pure elements, eV/atom: -0.3495



# 4
This record from Alexandria describes crystalline LiErInCo at its relaxed geometry. The functional is PBE.

a = 6.5742 Å, b = 6.5742 Å, c = 6.5742 Å
α = 90.00°, β = 90.00°, γ = 90.00°
Space group F-43m (No. 216)
Inequivalent atoms, fractional coordinates:
Li (0.0000, 0.0000, 0.0000) x4
Er (0.2500, 0.2500, 0.7500) x4
In (0.2500, 0.2500, 0.2500) x4
Co (0.0000, 0.0000, 0.5000) x4

Properties
Energy of formation from the pure elements, eV/atom: -0.1962



# 5
This record from Alexandria describes crystalline ErMgInCo at its relaxed geometry. The functional is PBE.

a = 6.7428 Å, b = 6.7428 Å, c = 6.7428 Å
α = 90.00°, β = 90.00°, γ = 90.00°
Space group F-43m (No. 216)
Inequivalent atoms, fractional coordinates:
Er (0.0000, 0.0000, 0.0000) x4
Mg (0.2500, 0.2500, 0.7500) x4
In (0.0000, 0.0000, 0.5000) x4
Co (0.2500, 0.2500, 0.2500) x4

Properties
Energy of formation from the pure elements, eV/atom: -0.0701



# 6
This record from Alexandria describes crystalline ErInCoPd at its relaxed geometry. The functional is PBE.

a = 6.6049 Å, b = 6.6049 Å, c = 6.6049 Å
α = 90.00°, β = 90.00°, γ = 90.00°
Space group F-43m (No. 216)
Inequivalent atoms, fractional coordinates:
Er (0.0000, 0.0000, 0.0000) x4
In (0.0000, 0.0000, 0.5000) x4
Co (0.2500, 0.2500, 0.2500) x4
Pd (0.2500, 0.2500, 0.7500) x4

Properties
Energy of formation from the pure elements, eV/atom: -0.4456



# 7
This record from Alexandria describes crystalline Er5In2Co2Rh at its relaxed geometry. The functional is PBE.

a = 11.3123 Å, b = 11.3123 Å, c = 3.4435 Å
α = 90.00°, β = 90.00°, γ = 90.00°
Space group P4/mbm (No. 127)
Inequivalent atoms, fractional coordinates:
Er (0.0000, 0.5000, 0.0000) x2
Er (0.0677, 0.2000, 0.0000) x8
In (0.1779, 0.6779, 0.5000) x4
Co (0.1351, 0.3649, 0.5000) x4
Rh (0.0000, 0.0000, 0.5000) x2

Properties
Energy of formation from the pure elements, eV/atom: -0.4308



# 8
This record from Alexandria describes crystalline ErInCoRh at its relaxed geometry. The functional is PBE.

a = 6.5131 Å, b = 6.5131 Å, c = 6.5131 Å
α = 90.00°, β = 90.00°, γ = 90.00°
Space group F-43m (No. 216)
Inequivalent atoms, fractional coordinates:
Er (0.0000, 0.0000, 0.0000) x4
In (0.0000, 0.0000, 0.5000) x4
Co (0.2500, 0.2500, 0.2500) x4
Rh (0.2500, 0.2500, 0.7500) x4

Properties
Energy of formation from the pure elements, eV/atom: -0.4475



no.,E (eV/f.u.)
1,-19.03
2,-51.36
3,-24.67
4,-17.11
5,-16.28
6,-21.38
7,-54.16
8,-23.55